1.
A relaxed Hg2RhSe crystal, computed with PBE.

abc: 5.309 5.309 6.293
angles: 72.42 72.42 34.99
Sites, in units of the cell vectors:
Hg 0.987 0.987 0.034
Hg 0.199 0.199 0.340
Rh 0.454 0.454 0.417
Se 0.860 0.860 0.709

Calculated values
VASP energy   -11.75 eV for the cell shown
Formation energy from raw total energies   -29.5 kJ/mol of formula units



2.
A relaxed HgRhSe2 crystal, computed with PBE.

abc: 4.756 4.752 4.747
angles: 69.31 73.01 110.77
Sites, in units of the cell vectors:
Hg 0.000 0.500 0.500
Rh 0.500 0.500 0.000
Se 0.000 0.000 0.000
Se 0.500 0.000 0.500

Calculated values
VASP energy   -13.75 eV for the cell shown
Formation energy from raw total energies   83.7 kJ/mol of formula units



3.
A relaxed Hg2RhSe crystal, computed with PBE.

abc: 3.028 3.028 9.192
angles: 90.00 90.00 90.09
Sites, in units of the cell vectors:
Hg 0.000 0.000 0.047
Hg 0.000 0.000 0.453
Rh 0.500 0.500 0.250
Se 0.500 0.500 0.750

Calculated values
VASP energy   -10.39 eV for the cell shown
Formation energy from raw total energies   101.7 kJ/mol of formula units



4.
A relaxed Hg2RhSe crystal, computed with PBE.

abc: 5.398 5.398 5.398
angles: 134.98 134.98 65.55
Sites, in units of the cell vectors:
Hg 0.000 0.000 0.000
Hg 0.500 0.500 0.000
Rh 0.250 0.750 0.500
Se 0.750 0.250 0.500

Calculated values
VASP energy   -10.24 eV for the cell shown
Formation energy from raw total energies   115.6 kJ/mol of formula units



5.
A relaxed HgRhSe2 crystal, computed with PBE.

abc: 3.779 3.719 8.347
angles: 116.54 83.31 119.39
Sites, in units of the cell vectors:
Rh 0.981 0.407 0.175
Hg 0.981 0.408 0.675
Se 0.597 0.543 0.003
Se 0.364 0.272 0.348

Calculated values
VASP energy   -15.71 eV for the cell shown
Formation energy from raw total energies   -104.5 kJ/mol of formula units



6.
A relaxed HgRhSe3 crystal, computed with PBE.

abc: 4.936 4.936 4.936
angles: 90.00 90.00 90.00
Sites, in units of the cell vectors:
Rh 0.000 0.000 0.000
Hg 0.500 0.500 0.500
Se 0.000 0.500 0.000
Se 0.000 0.000 0.500
Se 0.500 0.000 0.000

Calculated values
VASP energy   -16.44 eV for the cell shown
Relative energy among the computed polymorphs   0 meV/atom
Formation energy from raw total energies   160.6 kJ/mol of formula units



7.
A relaxed Hg2RhSe crystal, computed with PBE.

abc: 3.275 6.398 6.188
angles: 50.04 90.00 90.00
Sites, in units of the cell vectors:
Hg 0.000 0.977 0.001
Hg 0.500 0.365 0.277
Rh 0.000 0.502 0.537
Se 0.500 0.656 0.685

Calculated values
VASP energy   -11.74 eV for the cell shown
Formation energy from raw total energies   -28.7 kJ/mol of formula units



8.
A relaxed HgRhSe2 crystal, computed with PBE.

abc: 19.087 7.461 7.461
angles: 60.73 108.27 71.73
Sites, in units of the cell vectors:
Rh 0.343 0.471 0.289
Rh 0.157 0.789 0.971
Rh 0.657 0.529 0.711
Rh 0.843 0.211 0.029
Rh 0.331 0.011 0.256
Rh 0.169 0.756 0.511
Rh 0.669 0.989 0.744
Rh 0.831 0.244 0.489
Hg 0.082 0.264 0.195
Hg 0.418 0.695 0.764
Hg 0.918 0.736 0.805
Hg 0.582 0.305 0.236
Hg 0.410 0.165 0.789
Hg 0.090 0.289 0.665
Hg 0.590 0.835 0.211
Hg 0.910 0.711 0.335
Se 0.069 0.785 0.659
Se 0.431 0.159 0.285
Se 0.931 0.215 0.341
Se 0.569 0.841 0.715
Se 0.746 0.214 0.188
Se 0.754 0.688 0.714
Se 0.254 0.786 0.812
Se 0.246 0.312 0.286
Se 0.430 0.657 0.290
Se 0.070 0.790 0.157
Se 0.570 0.343 0.710
Se 0.930 0.210 0.843
Se 0.750 0.203 0.703
Se 0.250 0.797 0.297
Se 0.750 0.705 0.205
Se 0.250 0.295 0.795

Calculated values
VASP energy   -123.53 eV for the cell shown
Formation energy from raw total energies   -79.1 kJ/mol of formula units



9.
A relaxed SnHg2RhSe crystal, computed with PBE.

abc: 5.212 5.054 5.212
angles: 90.00 90.00 90.00
Sites, in units of the cell vectors:
Rh 0.000 0.000 0.000
Hg 0.000 0.000 0.500
Hg 0.500 0.000 0.000
Se 0.500 0.500 0.500
Sn 0.000 0.500 0.000

Calculated values
VASP energy   -14.53 eV for the cell shown
Formation energy from raw total energies   88.4 kJ/mol of formula units



10.
A relaxed SrHgRh2Se crystal, computed with PBE.

abc: 5.073 5.224 5.073
angles: 90.00 90.00 90.00
Sites, in units of the cell vectors:
Sr 0.500 0.500 0.500
Rh 0.000 0.000 0.500
Rh 0.500 0.000 0.000
Hg 0.000 0.000 0.000
Se 0.000 0.500 0.000

Calculated values
VASP energy   -17.62 eV for the cell shown
Formation energy from raw total energies   246.6 kJ/mol of formula units



11.
A relaxed Ta2Hg2RhSe6 crystal, computed with PBE.

abc: 6.169 6.169 10.157
angles: 98.83 98.83 123.21
Sites, in units of the cell vectors:
Ta 0.360 0.640 0.500
Ta 0.640 0.360 0.500
Hg 0.752 0.248 0.000
Hg 0.248 0.752 0.000
Rh 0.000 0.000 0.500
Se 0.786 0.786 0.685
Se 0.069 0.411 0.657
Se 0.214 0.214 0.315
Se 0.411 0.069 0.657
Se 0.931 0.589 0.343
Se 0.589 0.931 0.343

Calculated values
VASP energy   -58.43 eV for the cell shown
Formation energy from raw total energies   -565.4 kJ/mol of formula units



12.
A relaxed HgTe2RhSe crystal, computed with PBE.

abc: 5.577 5.153 5.577
angles: 90.00 90.00 90.00
Sites, in units of the cell vectors:
Te 0.000 0.000 0.500
Te 0.500 0.000 0.000
Rh 0.500 0.500 0.500
Hg 0.000 0.000 0.000
Se 0.000 0.500 0.000

Calculated values
VASP energy   -11.34 eV for the cell shown
Formation energy from raw total energies   586.5 kJ/mol of formula units